1.
! PBE NaPr2Zn2O6, optimized geometry; values from VASP
&SYSTEM
  ibrav = 0, nat = 11, ntyp = 4
/
ATOMIC_SPECIES
O 16.00 O.upf
Na 22.99 Na.upf
Pr 140.91 Pr.upf
Zn 65.41 Zn.upf
CELL_PARAMETERS angstrom
5.921 0.000 0.000
2.961 5.128 0.000
2.961 1.709 6.014
ATOMIC_POSITIONS angstrom
O 7.524 4.344 1.804
O 4.319 4.344 1.804
Na 0.000 0.000 0.000
O 5.921 1.569 1.804
Pr 2.961 1.709 2.538
Pr 8.882 5.128 3.476
Zn 5.921 3.419 1.667
O 7.524 2.494 4.210
O 5.921 5.269 4.210
Zn 5.921 3.419 4.347
O 4.319 2.494 4.210
! ΔE_f (raw): -1.792 eV per atom
! Raw total energy: -5.717 eV per atom

2.
! PBE LaTh2Pa, optimized geometry; values from VASP
&SYSTEM
  ibrav = 0, nat = 4, ntyp = 3
/
ATOMIC_SPECIES
Pa 231.04 Pa.upf
La 138.91 La.upf
Th 232.04 Th.upf
CELL_PARAMETERS angstrom
3.488 0.000 0.000
0.000 3.488 0.000
0.000 0.000 10.116
ATOMIC_POSITIONS angstrom
Pa 1.744 1.744 5.058
La 1.744 1.744 0.000
Th 0.000 0.000 7.431
Th 0.000 0.000 2.685
! ΔE_f: 0.0943 eV per atom
! Energy relative to the lowest polymorph listed for this composition: 0 meV/atom
! Raw total energy: -7.221 eV per atom

3.
! PBE CrNiP2, optimized geometry; values from VASP
&SYSTEM
  ibrav = 0, nat = 4, ntyp = 3
/
ATOMIC_SPECIES
P 30.97 P.upf
Cr 52.00 Cr.upf
Ni 58.69 Ni.upf
CELL_PARAMETERS angstrom
4.023 0.074 0.221
3.034 2.642 0.221
1.317 0.507 4.738
ATOMIC_POSITIONS angstrom
P 8.255 3.177 5.006
Cr 6.281 2.417 3.885
P 4.306 1.657 2.765
Ni 2.094 0.806 1.295
! ΔE_f: -0.1461 eV per atom
! Raw total energy: -6.702 eV per atom

4.
! PBE Cu5NiPt, optimized geometry; values from VASP
&SYSTEM
  ibrav = 0, nat = 7, ntyp = 3
/
ATOMIC_SPECIES
Cu 63.55 Cu.upf
Pt 195.08 Pt.upf
Ni 58.69 Ni.upf
CELL_PARAMETERS angstrom
3.554 0.594 0.000
-0.594 3.554 0.000
0.000 0.000 7.197
ATOMIC_POSITIONS angstrom
Cu 3.257 2.371 1.821
Cu 1.183 3.851 1.821
Cu 0.000 0.000 3.598
Cu -0.297 1.777 5.376
Cu 1.777 0.297 5.376
Pt 0.000 0.000 0.000
Ni 1.480 2.074 3.598
! ΔE_f: 0.1126 eV per atom
! Raw total energy: -4.502 eV per atom

5.
! PBE MnCuSi2I, optimized geometry; values from VASP
&SYSTEM
  ibrav = 0, nat = 5, ntyp = 4
/
ATOMIC_SPECIES
Si 28.09 Si.upf
I 126.90 I.upf
Mn 54.94 Mn.upf
Cu 63.55 Cu.upf
CELL_PARAMETERS angstrom
-0.191 -4.453 0.237
2.264 0.159 4.814
-4.035 0.274 1.889
ATOMIC_POSITIONS angstrom
Si -0.096 -2.227 0.119
I -0.981 -2.010 3.470
Mn 1.132 0.080 2.407
Cu 0.000 0.000 0.000
Si -2.017 0.137 0.944
! ΔE_f (raw): 0.676 eV per atom
! Raw total energy: -4.457 eV per atom

6.
! PBE YThCoPd, optimized geometry; values from VASP
&SYSTEM
  ibrav = 0, nat = 4, ntyp = 4
/
ATOMIC_SPECIES
Pd 106.42 Pd.upf
Th 232.04 Th.upf
Co 58.93 Co.upf
Y 88.91 Y.upf
CELL_PARAMETERS angstrom
4.965 0.000 0.000
2.482 4.300 0.000
2.482 1.433 4.054
ATOMIC_POSITIONS angstrom
Pd 0.000 0.000 0.000
Th 2.482 1.433 1.013
Co 4.965 2.866 2.027
Y 7.447 4.300 3.040
! ΔE_f: -0.4068 eV per atom
! Energy relative to the lowest polymorph listed for this composition: 167 meV/atom
! Raw total energy: -6.952 eV per atom

7.
! PBE Li2YNi, optimized geometry; values from VASP
&SYSTEM
  ibrav = 0, nat = 4, ntyp = 3
/
ATOMIC_SPECIES
Li 6.94 Li.upf
Y 88.91 Y.upf
Ni 58.69 Ni.upf
CELL_PARAMETERS angstrom
3.414 0.000 0.000
0.000 3.377 0.128
0.000 3.121 6.746
ATOMIC_POSITIONS angstrom
Li 0.000 3.361 0.564
Y 1.707 4.889 4.787
Li 1.707 1.620 1.818
Ni 0.000 3.255 3.270
! ΔE_f: -0.0513 eV per atom
! Energy relative to the lowest polymorph listed for this composition: 19 meV/atom
! Raw total energy: -4.070 eV per atom

8.
! PBE TbTmMnAl, optimized geometry; values from VASP
&SYSTEM
  ibrav = 0, nat = 4, ntyp = 4
/
ATOMIC_SPECIES
Al 26.98 Al.upf
Tb 158.93 Tb.upf
Tm 168.93 Tm.upf
Mn 54.94 Mn.upf
CELL_PARAMETERS angstrom
-0.134 -1.028 4.944
0.100 -4.795 1.586
4.109 -1.809 2.316
ATOMIC_POSITIONS angstrom
Al 2.038 -3.816 4.423
Tb 1.019 -1.908 2.211
Tm 3.057 -5.724 6.634
Mn 0.000 0.000 0.000
! ΔE_f: -0.0805 eV per atom
! Raw total energy: -5.584 eV per atom

9.
! PBE Tb9NdTl2, optimized geometry; values from VASP
&SYSTEM
  ibrav = 0, nat = 12, ntyp = 3
/
ATOMIC_SPECIES
Tl 204.38 Tl.upf
Tb 158.93 Tb.upf
Nd 144.24 Nd.upf
CELL_PARAMETERS angstrom
-2.447 -3.867 1.734
4.068 -2.704 -0.290
3.673 4.012 14.125
ATOMIC_POSITIONS angstrom
Tl 1.249 1.364 4.802
Tb -0.583 -1.234 3.328
Tb 0.811 -3.285 0.722
Tb 2.674 -0.653 2.316
Nd 0.000 0.000 0.000
Tl 2.424 2.648 9.323
Tb 1.810 1.380 12.532
Tb 2.055 -1.926 5.508
Tb 0.613 0.073 7.930
Tb 3.871 0.654 6.918
Tb 5.067 1.961 11.520
Tb 3.239 -0.632 10.062
! ΔE_f: -0.1074 eV per atom
! Raw total energy: -4.372 eV per atom

10.
! PBE YNi2Pd2, optimized geometry; values from VASP
&SYSTEM
  ibrav = 0, nat = 10, ntyp = 3
/
ATOMIC_SPECIES
Y 88.91 Y.upf
Pd 106.42 Pd.upf
Ni 58.69 Ni.upf
CELL_PARAMETERS angstrom
-0.137 6.734 1.479
-3.672 -1.324 5.685
2.837 -0.328 1.756
ATOMIC_POSITIONS angstrom
Y 0.000 0.000 0.000
Pd -1.051 0.073 4.911
Ni -2.418 5.059 4.850
Pd 0.078 5.009 4.009
Pd -1.735 3.218 6.603
Ni -1.392 0.351 2.314
Pd 0.762 1.864 2.316
Ni -3.262 1.363 5.524
Ni -0.548 4.047 1.640
Y -1.905 2.705 3.582
! ΔE_f: -0.2829 eV per atom
! Energy relative to the lowest polymorph listed for this composition: 51 meV/atom
! Raw total energy: -5.965 eV per atom

11.
! PBE CaInI2Br, optimized geometry; values from VASP
&SYSTEM
  ibrav = 0, nat = 10, ntyp = 4
/
ATOMIC_SPECIES
I 126.90 I.upf
Ca 40.08 Ca.upf
Br 79.90 Br.upf
In 114.82 In.upf
CELL_PARAMETERS angstrom
-0.499 0.769 -4.486
-2.851 -8.856 -1.202
-8.929 5.468 1.930
ATOMIC_POSITIONS angstrom
I -9.438 3.825 0.536
Ca -2.311 0.225 -3.210
Ca -9.968 -2.843 -0.548
I -3.496 1.442 -0.533
I -8.783 -4.061 -3.225
Br -4.578 -1.534 -3.260
Br -7.701 -1.084 -0.498
In -6.454 0.986 -2.619
I -2.841 -6.443 -4.294
In -5.826 -3.605 -1.139
! ΔE_f (raw): -1.240 eV per atom
! Raw total energy: -3.143 eV per atom

12.
! PBE Gd2TcGe, optimized geometry; values from VASP
&SYSTEM
  ibrav = 0, nat = 4, ntyp = 3
/
ATOMIC_SPECIES
Ge 72.64 Ge.upf
Tc 98.00 Tc.upf
Gd 157.25 Gd.upf
CELL_PARAMETERS angstrom
3.621 0.000 0.000
0.000 3.621 0.000
0.000 0.000 6.663
ATOMIC_POSITIONS angstrom
Ge 1.811 1.811 3.332
Tc 1.811 1.811 0.000
Gd 0.000 0.000 5.053
Gd 0.000 0.000 1.610
! ΔE_f: -0.2823 eV per atom
! Energy relative to the lowest polymorph listed for this composition: 0 meV/atom
! Raw total energy: -11.069 eV per atom

| no. | calculated density (kg/m³) |
| --- | --- |
| 1 | 4834 |
| 2 | 11256 |
| 3 | 5919 |
| 4 | 10157 |
| 5 | 4723 |
| 6 | 9331 |
| 7 | 3509 |
| 8 | 7466 |
| 9 | 9087 |
| 10 | 8732 |
| 11 | 3667 |
| 12 | 9220 |